First-principles (PBE) data for an optimized crystal structure of Ta2BeS, as listed in the Alexandria database.

Cell lengths 4.311, 4.311, 4.311 Å; angles 60.00, 60.00, 60.00 degrees
Element x y z (fractional)
Ta 0.250 0.250 0.250
Ta 0.750 0.750 0.750
Be 0.000 0.000 0.000
S 0.500 0.500 0.500

Output
Energy relative to the elements, uncorrected in eV/atom: 0.09
Energy above the most stable polymorph in this dataset in kJ/mol of formula units: 0.0
M_tot in μB per formula unit: 0.00
Crystal system: cubic